RbCdNO | the Open Quantum Materials Database | PBE-GGA | optimized geometry; space-group type = P4/nmm, No. 129; relative energy among the computed polymorphs = 433 meV per atom; V = 157.4 Å³ per cell
1.0
4.715 0.000 0.000
0.000 4.715 0.000
0.000 0.000 7.080
N Rb O Cd
2 2 2 2
direct
0.500 0.000 0.644
0.000 0.500 0.356
0.500 0.500 0.500
0.000 0.000 0.500
0.000 0.000 0.000
0.500 0.500 0.000
0.500 0.000 0.955
0.000 0.500 0.045

=====

CsRbPdSe2 | the Open Quantum Materials Database | PBE-GGA | optimized geometry; space-group type = Imm2, No. 44; energy = -18.37 eV for the cell shown; V = 156.9 Å³ per cell
1.0
-1.941 3.869 5.224
1.941 -3.869 5.224
1.941 3.869 -5.224
Cs Pd Se Rb
1 1 2 1
direct
0.806 0.806 0.000
0.499 0.999 0.500
0.708 0.499 0.209
0.290 0.499 0.791
0.196 0.196 0.000

=====

Ho5P | the Open Quantum Materials Database | PBE-GGA | optimized geometry; space-group type = Cmcm, No. 63; energy = -56.36 eV for the cell shown; V = 393.4 Å³ per cell
1.0
3.060 -6.049 0.000
3.060 6.049 0.000
0.000 0.000 10.627
Ho P
10 2
direct
0.853 0.147 0.033
0.853 0.147 0.467
0.198 0.303 0.750
0.147 0.853 0.533
0.705 0.295 0.750
0.147 0.853 0.967
0.295 0.705 0.250
0.802 0.697 0.250
0.303 0.198 0.250
0.697 0.802 0.750
0.256 0.744 0.750
0.744 0.256 0.250

=====

SrHfF6 | the Open Quantum Materials Database | PBE-GGA | optimized geometry; space-group type = P2_1/c, No. 14; energy = -215.58 eV for the cell shown; V = 468.8 Å³ per cell
1.0
-2.920 -0.047 -4.986
2.253 -5.218 -1.271
-9.711 -6.171 8.115
Hf F Sr
4 24 4
direct
0.328 0.363 0.900
0.672 0.637 0.100
0.328 0.137 0.400
0.672 0.863 0.600
0.422 0.994 0.281
0.101 0.604 0.917
0.899 0.104 0.583
0.891 0.798 0.210
0.130 0.132 0.959
0.592 0.612 0.945
0.408 0.388 0.055
0.592 0.888 0.445
0.899 0.396 0.083
0.422 0.506 0.781
0.870 0.868 0.041
0.101 0.896 0.417
0.578 0.494 0.219
0.583 0.360 0.417
0.891 0.702 0.710
0.870 0.632 0.541
0.109 0.202 0.790
0.109 0.298 0.290
0.130 0.368 0.459
0.417 0.640 0.583
0.578 0.006 0.719
0.408 0.112 0.555
0.583 0.140 0.917
0.417 0.860 0.083
0.845 0.895 0.861
0.155 0.105 0.139
0.155 0.395 0.639
0.845 0.605 0.361

=====

BeCu2As | the Open Quantum Materials Database | PBE-GGA | optimized geometry; space-group type = F-43m, No. 216; relative energy among the computed polymorphs = 108 meV per atom; V = 50.8 Å³ per cell
1.0
0.698 -1.739 3.712
-3.200 -1.036 2.445
-0.926 -4.005 0.627
Cu As Be
2 1 1
direct
0.750 0.750 0.750
0.000 0.000 0.000
0.500 0.500 0.500
0.250 0.250 0.250

=====

RbHoSO | the Open Quantum Materials Database | PBE-GGA | optimized geometry; space-group type = C2, No. 5; relative energy among the computed polymorphs = 33 meV per atom; V = 373.0 Å³ per cell
1.0
5.678 0.000 -0.529
0.000 5.702 0.000
-1.839 0.000 11.692
O Rb S Ho
4 4 4 4
direct
0.250 0.114 0.000
0.750 0.614 0.000
0.750 0.114 0.000
0.250 0.614 0.000
0.950 0.111 0.387
0.450 0.611 0.387
0.050 0.611 0.613
0.550 0.111 0.613
0.390 0.111 0.268
0.890 0.611 0.268
0.610 0.611 0.732
0.110 0.111 0.732
0.953 0.363 0.910
0.453 0.863 0.910
0.547 0.363 0.090
0.047 0.863 0.090

=====

ErLu2Fe3Co6 | the Open Quantum Materials Database | PBE-GGA | optimized geometry; energy of formation = -0.234 eV per atom; space-group type = R-3m, No. 166; V = 170.7 Å³ per cell
1.0
2.507 1.447 7.843
-2.507 1.447 7.843
0.000 -2.895 7.843
Co Fe Lu Er
6 3 2 1
direct
0.585 0.585 0.079
0.079 0.585 0.585
0.415 0.921 0.415
0.585 0.079 0.585
0.921 0.415 0.415
0.415 0.415 0.921
0.500 0.500 0.500
0.334 0.334 0.334
0.666 0.666 0.666
0.859 0.859 0.859
0.141 0.141 0.141
0.000 0.000 0.000

=====

PmMgO3 | the Open Quantum Materials Database | PBE-GGA | optimized geometry; space-group type = R-3c, No. 167; energy = -66.25 eV for the cell shown; V = 147.7 Å³ per cell
1.0
-5.320 -2.723 -1.043
-1.492 -2.337 -5.396
-0.501 -5.968 -0.970
Mg O Pm
2 6 2
direct
0.250 0.250 0.250
0.750 0.750 0.750
0.579 0.921 0.250
0.250 0.579 0.921
0.421 0.079 0.750
0.079 0.750 0.421
0.750 0.421 0.079
0.921 0.250 0.579
0.000 0.000 0.000
0.500 0.500 0.500